[1]
## LaPmSi (GGA-PBE)

Data for a relaxed structure of LaPmSi.

```
3
Lattice="-1.0019 -3.8258 -1.7630 4.1162 0.0243 -2.3918 -0.2194 -1.9428 4.3407" Properties=species:S:1:pos:R:3 pbc="T T T"
Si -0.0472 -0.1802 -0.0831
La 1.9700 -3.3085 -1.3812
Pm 0.9722 -2.2557 1.6502
```

Magnetic moment, μB/f.u.: 0.000
E above lowest polymorph, eV/atom: 0.1950
Energy, eV per cell: -16.1
Raw formation energy, eV/atom: -0.328

[2]
## LaPmSi (GGA-PBE)

Data for a relaxed structure of LaPmSi.

```
3
Lattice="-0.3888 2.1410 -4.5659 0.2738 -2.8573 -4.1646 -4.1321 -0.7736 -2.8124" Properties=species:S:1:pos:R:3 pbc="T T T"
Si -1.0618 -0.3725 -2.8857
La -2.1235 -0.7449 -5.7714
Pm 0.0000 0.0000 0.0000
```

Magnetic moment, μB/f.u.: 0.000
E above lowest polymorph, eV/atom: 0.0701
Energy, eV per cell: -16.5
Raw formation energy, eV/atom: -0.453

[3]
## LaPm5Si3 (GGA-PBE)

Data for a relaxed structure of LaPm5Si3.

```
18
Lattice="6.5444 0.0000 0.0000 0.0000 9.0986 0.0000 0.0000 -4.5493 7.8793" Properties=species:S:1:pos:R:3 pbc="T T T"
La 0.0000 0.0000 0.0000
La 3.2722 0.0000 0.0000
Pm 0.0000 4.5493 2.6266
Pm 3.2722 0.0000 5.2527
Pm 0.0000 0.0000 5.2527
Pm 3.2722 4.5493 2.6266
Pm 4.9083 3.0359 5.2584
Pm 4.9083 7.5852 2.6209
Pm 4.9083 3.0265 0.0000
Pm 1.6361 1.5134 2.6209
Pm 1.6361 -3.0359 5.2584
Pm 1.6361 6.0721 0.0000
Si 4.9083 1.5293 2.6489
Si 4.9083 6.0786 5.2304
Si 4.9083 6.0395 0.0000
Si 1.6361 3.0200 5.2304
Si 1.6361 -1.5293 2.6489
Si 1.6361 3.0591 0.0000
```

Magnetic moment, μB/f.u.: 2.064
Energy, eV per cell: -97.6
Raw formation energy, eV/atom: -0.426

[4]
## LaPmSiSn (GGA-PBE)

Data for a relaxed structure of LaPmSiSn.

```
4
Lattice="5.3740 0.0000 0.0000 2.6870 4.6540 0.0000 2.6870 1.5513 4.3878" Properties=species:S:1:pos:R:3 pbc="T T T"
Si 8.0609 4.6540 3.2909
La 0.0000 0.0000 0.0000
Sn 2.6870 1.5513 1.0970
Pm 5.3740 3.1027 2.1939
```

Magnetic moment, μB/f.u.: 0.000
Energy, eV per cell: -20.9
Raw formation energy, eV/atom: -0.460

[5]
## LaPmZnSi (GGA-PBE)

Data for a relaxed structure of LaPmZnSi.

```
4
Lattice="-0.9908 4.6691 -2.0393 -4.6090 2.2522 0.7905 -0.3619 4.1566 3.0874" Properties=species:S:1:pos:R:3 pbc="T T T"
Zn -1.4904 2.7695 0.4596
La -2.9809 5.5390 0.9193
Si -4.4713 8.3085 1.3789
Pm 0.0000 0.0000 0.0000
```

Magnetic moment, μB/f.u.: 0.000
E above lowest polymorph, eV/atom: 0.0739
Energy, eV per cell: -18.2
Raw formation energy, eV/atom: -0.448

[6]
## LaPmZnSi (GGA-PBE)

Data for a relaxed structure of LaPmZnSi.

```
4
Lattice="4.3462 0.0000 0.0000 0.0000 4.1443 0.0000 -2.1731 0.0000 5.6863" Properties=species:S:1:pos:R:3 pbc="T T T"
La 0.0000 0.0000 1.6763
Pm 2.1731 2.0721 4.0963
Zn 2.1731 2.0721 0.7118
Si 0.0000 0.0000 4.8883
```

Magnetic moment, μB/f.u.: 0.002
E above lowest polymorph, eV/atom: 0.0000
Energy, eV per cell: -18.5
Raw formation energy, eV/atom: -0.522

[7]
## La4PmSm (GGA-PBE)

Data for a relaxed structure of La4PmSm.

```
12
Lattice="-5.4069 -2.5971 1.1952 3.3112 -4.8445 4.4525 -1.2200 5.9238 7.3526" Properties=species:S:1:pos:R:3 pbc="T T T"
La 0.0000 0.0000 0.0000
La -1.9121 0.3182 7.6905
La -1.4151 0.8708 11.1394
La 1.6556 -2.4223 2.2263
La -1.9006 -2.3887 1.8609
La -3.4749 2.6048 5.5889
La 0.1593 -4.1227 7.4114
La -1.4036 -1.8360 5.3098
Pm 2.0870 -1.7087 5.7284
Pm 0.0042 2.7879 6.0767
Sm 1.6563 0.3826 8.3240
Sm 0.4349 0.6966 3.4811
```

Magnetic moment, μB/f.u.: 0.000
E above lowest polymorph, eV/atom: 0.0000
Energy, eV per cell: -56.6
Formation energy from the elements, eV/f.u.: 0.9

[8]
## LaPm4Sm4 (GGA-PBE)

Data for a relaxed structure of LaPm4Sm4.

```
9
Lattice="5.1715 0.0000 0.0000 2.5857 7.7515 0.0000 2.5857 0.0000 7.7515" Properties=species:S:1:pos:R:3 pbc="T T T"
La 0.0000 0.0000 0.0000
Pm 5.1715 2.5883 2.5891
Pm 5.1715 5.1632 5.1624
Pm 2.5857 5.1624 2.5883
Pm 7.7572 2.5891 5.1632
Sm 7.7572 5.1530 7.7510
Sm 2.5857 2.5985 0.0005
Sm 5.1715 0.0005 5.1530
Sm 5.1715 7.7510 2.5985
```

Magnetic moment, μB/f.u.: 0.000
E above lowest polymorph, eV/atom: 0.0114
Energy, eV per cell: -42.7
Formation energy from the elements, eV/f.u.: 0.1